Entry 1:
The following is a PBE calculation of a relaxed structure of Ho2FeB4Ir4, from OQMD via LeMat-Bulk.

Geometry as CIF:
```
data_Ho2FeB4Ir4
_chemical_formula_sum 'Ho8 Fe4 B16 Ir16'
_symmetry_space_group_name_H-M 'F m m m'
_symmetry_Int_Tables_number 69
_symmetry_space_group_name_Hall '-F 2 2'
_cell_length_a 5.4542
_cell_length_b 9.3849
_cell_length_c 11.3811
_cell_angle_alpha 90.00
_cell_angle_beta 90.00
_cell_angle_gamma 90.00
loop_
_atom_site_label
_atom_site_type_symbol
_atom_site_fract_x
_atom_site_fract_y
_atom_site_fract_z
_atom_site_occupancy
Ho1 Ho 0.0000 0.0000 0.1373 1
Fe1 Fe 0.0000 0.0000 0.5000 1
B1 B 0.0000 0.1456 0.3692 1
Ir1 Ir 0.2500 0.2500 0.0000 1
Ir2 Ir 0.2500 0.2500 0.2500 1
```

***

Entry 2:
# PBE Ho2Fe3B4Ir2, optimized geometry
data_Ho2Fe3B4Ir2
_chemical_formula_sum 'Ho8 Fe12 B16 Ir8'
_symmetry_space_group_name_H-M 'F m m m'
_symmetry_Int_Tables_number 69
_symmetry_space_group_name_Hall '-F 2 2'
_cell_length_a 5.3262
_cell_length_b 9.2464
_cell_length_c 11.2713
_cell_angle_alpha 90.00
_cell_angle_beta 90.00
_cell_angle_gamma 90.00
loop_
_atom_site_label
_atom_site_type_symbol
_atom_site_fract_x
_atom_site_fract_y
_atom_site_fract_z
_atom_site_occupancy
Ho1 Ho 0.0000 0.0000 0.1372 1
Fe1 Fe 0.0000 0.0000 0.5000 1
Fe2 Fe 0.2500 0.2500 0.0000 1
B1 B 0.0000 0.1568 0.3769 1
Ir1 Ir 0.2500 0.2500 0.2500 1
# - polymorph energy (0 for the lowest one) (eV per formula unit) = 0.284

***

Entry 3:
# PBE Ho2Fe3B4Ir2, optimized geometry
data_Ho2Fe3B4Ir2
_chemical_formula_sum 'Ho8 Fe12 B16 Ir8'
_symmetry_space_group_name_H-M 'F m m m'
_symmetry_Int_Tables_number 69
_symmetry_space_group_name_Hall '-F 2 2'
_cell_length_a 5.2956
_cell_length_b 9.2149
_cell_length_c 11.0431
_cell_angle_alpha 90.00
_cell_angle_beta 90.00
_cell_angle_gamma 90.00
loop_
_atom_site_label
_atom_site_type_symbol
_atom_site_fract_x
_atom_site_fract_y
_atom_site_fract_z
_atom_site_occupancy
Ho1 Ho 0.0000 0.0000 0.1453 1
Fe1 Fe 0.0000 0.0000 0.5000 1
Fe2 Fe 0.2500 0.2500 0.2500 1
B1 B 0.0000 0.1512 0.3602 1
Ir1 Ir 0.2500 0.2500 0.0000 1
# - polymorph energy (0 for the lowest one) (eV per formula unit) = 0.000

***

Entry 4:
The following is a PBE calculation of a relaxed structure of Sm2HoFe2B2N3, from OQMD via LeMat-Bulk.

Geometry as CIF:
```
data_Sm2HoFe2B2N3
_chemical_formula_sum 'Sm4 Ho2 Fe4 B4 N6'
_symmetry_space_group_name_H-M 'I 4/m m m'
_symmetry_Int_Tables_number 139
_symmetry_space_group_name_Hall '-I 4 2'
_cell_length_a 3.5061
_cell_length_b 3.5061
_cell_length_c 20.4249
_cell_angle_alpha 90.00
_cell_angle_beta 90.00
_cell_angle_gamma 90.00
loop_
_atom_site_label
_atom_site_type_symbol
_atom_site_fract_x
_atom_site_fract_y
_atom_site_fract_z
_atom_site_occupancy
Sm1 Sm 0.0000 0.0000 0.1228 1
Ho1 Ho 0.0000 0.0000 0.5000 1
Fe1 Fe 0.0000 0.5000 0.2500 1
B1 B 0.0000 0.0000 0.3123 1
N1 N 0.0000 0.0000 0.0000 1
N2 N 0.0000 0.0000 0.3849 1
```

***

Entry 5:
The following is a PBE calculation of a relaxed structure of TbHoFe2B2N2, from OQMD via LeMat-Bulk.

Geometry as CIF:
```
data_TbHoFe2B2N2
_chemical_formula_sum 'Tb1 Ho1 Fe2 B2 N2'
_symmetry_space_group_name_H-M 'P 4 m m'
_symmetry_Int_Tables_number 99
_cell_length_a 3.4467
_cell_length_b 3.4467
_cell_length_c 7.7091
_cell_angle_alpha 90.00
_cell_angle_beta 90.00
_cell_angle_gamma 90.00
loop_
_symmetry_equiv_pos_as_xyz
'x,y,z'
'-y,x,z'
'-x,-y,z'
'y,-x,z'
'-x,y,z'
'y,x,z'
'x,-y,z'
'-y,-x,z'
loop_
_atom_site_label
_atom_site_type_symbol
_atom_site_fract_x
_atom_site_fract_y
_atom_site_fract_z
_atom_site_occupancy
Tb1 Tb 0.0000 0.0000 0.0000 1
Ho1 Ho 0.5000 0.5000 0.3306 1
Fe1 Fe 0.0000 0.5000 0.6654 1
B1 B 0.0000 0.0000 0.5008 1
B2 B 0.5000 0.5000 0.8312 1
N1 N 0.0000 0.0000 0.3077 1
N2 N 0.5000 0.5000 0.0248 1
```

***

Entry 6:
The following is a PBE calculation of a relaxed structure of Tb2HoFe2B2N3, from OQMD via LeMat-Bulk.

Geometry as CIF:
```
data_Tb2HoFe2B2N3
_chemical_formula_sum 'Tb4 Ho2 Fe4 B4 N6'
_symmetry_space_group_name_H-M 'I 4/m m m'
_symmetry_Int_Tables_number 139
_symmetry_space_group_name_Hall '-I 4 2'
_cell_length_a 3.4526
_cell_length_b 3.4526
_cell_length_c 20.3701
_cell_angle_alpha 90.00
_cell_angle_beta 90.00
_cell_angle_gamma 90.00
loop_
_atom_site_label
_atom_site_type_symbol
_atom_site_fract_x
_atom_site_fract_y
_atom_site_fract_z
_atom_site_occupancy
Tb1 Tb 0.0000 0.0000 0.1221 1
Ho1 Ho 0.0000 0.0000 0.5000 1
Fe1 Fe 0.0000 0.5000 0.2500 1
B1 B 0.0000 0.0000 0.3126 1
N1 N 0.0000 0.0000 0.0000 1
N2 N 0.0000 0.0000 0.3855 1
```

***

Entry 7:
The following is a PBE calculation of a relaxed structure of YHoFe2B2N2, from OQMD via LeMat-Bulk.

Geometry as CIF:
```
data_YHoFe2B2N2
_chemical_formula_sum 'Y1 Ho1 Fe2 B2 N2'
_symmetry_space_group_name_H-M 'P 4 m m'
_symmetry_Int_Tables_number 99
_cell_length_a 3.4380
_cell_length_b 3.4380
_cell_length_c 7.7001
_cell_angle_alpha 90.00
_cell_angle_beta 90.00
_cell_angle_gamma 90.00
loop_
_symmetry_equiv_pos_as_xyz
'x,y,z'
'-y,x,z'
'-x,-y,z'
'y,-x,z'
'-x,y,z'
'y,x,z'
'x,-y,z'
'-y,-x,z'
loop_
_atom_site_label
_atom_site_type_symbol
_atom_site_fract_x
_atom_site_fract_y
_atom_site_fract_z
_atom_site_occupancy
Y1 Y 0.0000 0.0000 0.0000 1
Ho1 Ho 0.5000 0.5000 0.6698 1
Fe1 Fe 0.0000 0.5000 0.3352 1
B1 B 0.0000 0.0000 0.4999 1
B2 B 0.5000 0.5000 0.1699 1
N1 N 0.0000 0.0000 0.6932 1
N2 N 0.5000 0.5000 0.9759 1
```

***

Entry 8:
The following is a PBE calculation of a relaxed structure of HoFeNi3B, from OQMD via LeMat-Bulk.

Geometry as CIF:
```
data_HoFeNi3B
_chemical_formula_sum 'Ho2 Fe2 Ni6 B2'
_symmetry_space_group_name_H-M 'P 6/m m m'
_symmetry_Int_Tables_number 191
_symmetry_space_group_name_Hall '-P 6 2'
_cell_length_a 4.9929
_cell_length_b 4.9929
_cell_length_c 6.9945
_cell_angle_alpha 90.00
_cell_angle_beta 90.00
_cell_angle_gamma 120.00
loop_
_atom_site_label
_atom_site_type_symbol
_atom_site_fract_x
_atom_site_fract_y
_atom_site_fract_z
_atom_site_occupancy
Ho1 Ho 0.0000 0.0000 0.0000 1
Ho2 Ho 0.0000 0.0000 0.5000 1
Fe1 Fe 0.3333 0.6667 0.0000 1
Ni1 Ni 0.0000 0.5000 0.2922 1
B1 B 0.3333 0.6667 0.5000 1
```

***

Entry 9:
The following is a PBE calculation of a relaxed structure of HoFe2BP, from OQMD via LeMat-Bulk.

Geometry as CIF:
```
data_HoFe2BP
_chemical_formula_sum 'Ho2 Fe4 B2 P2'
_symmetry_space_group_name_H-M 'I 4 m m'
_symmetry_Int_Tables_number 107
_symmetry_space_group_name_Hall 'I 4 -2'
_cell_length_a 3.7104
_cell_length_b 3.7104
_cell_length_c 9.2956
_cell_angle_alpha 90.00
_cell_angle_beta 90.00
_cell_angle_gamma 90.00
loop_
_atom_site_label
_atom_site_type_symbol
_atom_site_fract_x
_atom_site_fract_y
_atom_site_fract_z
_atom_site_occupancy
Ho1 Ho 0.0000 0.0000 0.0000 1
Fe1 Fe 0.0000 0.5000 0.2616 1
B1 B 0.0000 0.0000 0.3596 1
P1 P 0.0000 0.0000 0.6381 1
```

***

Entry 10:
# PBE YHoFe8B2, optimized geometry
data_YHoFe8B2
_chemical_formula_sum 'Y1 Ho1 Fe8 B2'
_symmetry_space_group_name_H-M 'P 6/m m m'
_symmetry_Int_Tables_number 191
_symmetry_space_group_name_Hall '-P 6 2'
_cell_length_a 5.0575
_cell_length_b 5.0575
_cell_length_c 7.0152
_cell_angle_alpha 90.00
_cell_angle_beta 90.00
_cell_angle_gamma 120.00
loop_
_atom_site_label
_atom_site_type_symbol
_atom_site_fract_x
_atom_site_fract_y
_atom_site_fract_z
_atom_site_occupancy
Y1 Y 0.0000 0.0000 0.0000 1
Ho1 Ho 0.0000 0.0000 0.5000 1
Fe1 Fe 0.0000 0.5000 0.2863 1
Fe2 Fe 0.3333 0.6667 0.0000 1
B1 B 0.3333 0.6667 0.5000 1
# - polymorph energy (0 for the lowest one) (eV per formula unit) = 0.000

***

Entry 11:
# PBE YHoFe8B2, optimized geometry
data_YHoFe8B2
_chemical_formula_sum 'Y1 Ho1 Fe8 B2'
_symmetry_space_group_name_H-M 'P 6/m m m'
_symmetry_Int_Tables_number 191
_symmetry_space_group_name_Hall '-P 6 2'
_cell_length_a 5.0601
_cell_length_b 5.0601
_cell_length_c 7.0179
_cell_angle_alpha 90.00
_cell_angle_beta 90.00
_cell_angle_gamma 120.00
loop_
_atom_site_label
_atom_site_type_symbol
_atom_site_fract_x
_atom_site_fract_y
_atom_site_fract_z
_atom_site_occupancy
Y1 Y 0.0000 0.0000 0.0000 1
Ho1 Ho 0.0000 0.0000 0.5000 1
Fe1 Fe 0.0000 0.5000 0.2140 1
Fe2 Fe 0.3333 0.6667 0.5000 1
B1 B 0.3333 0.6667 0.0000 1
# - polymorph energy (0 for the lowest one) (eV per formula unit) = 0.060

***

Entry 12:
# PBE InFeB4, optimized geometry
data_InFeB4
_chemical_formula_sum 'In1 Fe1 B4'
_symmetry_space_group_name_H-M 'P 6/m m m'
_symmetry_Int_Tables_number 191
_symmetry_space_group_name_Hall '-P 6 2'
_cell_length_a 2.9809
_cell_length_b 2.9809
_cell_length_c 8.4286
_cell_angle_alpha 90.00
_cell_angle_beta 90.00
_cell_angle_gamma 120.00
loop_
_atom_site_label
_atom_site_type_symbol
_atom_site_fract_x
_atom_site_fract_y
_atom_site_fract_z
_atom_site_occupancy
In1 In 0.0000 0.0000 0.0000 1
Fe1 Fe 0.0000 0.0000 0.5000 1
B1 B 0.3333 0.6667 0.3233 1
# - polymorph energy (0 for the lowest one) (eV per formula unit) = 0.000

***

Entry 13:
# PBE InFeB4, optimized geometry
data_InFeB4
_chemical_formula_sum 'In2 Fe2 B8'
_symmetry_space_group_name_H-M 'I m m m'
_symmetry_Int_Tables_number 71
_symmetry_space_group_name_Hall '-I 2 2'
_cell_length_a 3.0596
_cell_length_b 5.2839
_cell_length_c 7.2291
_cell_angle_alpha 90.00
_cell_angle_beta 90.00
_cell_angle_gamma 90.00
loop_
_atom_site_label
_atom_site_type_symbol
_atom_site_fract_x
_atom_site_fract_y
_atom_site_fract_z
_atom_site_occupancy
In1 In 0.0000 0.0000 0.0000 1
Fe1 Fe 0.0000 0.0000 0.5000 1
B1 B 0.0000 0.3352 0.2458 1
# - polymorph energy (0 for the lowest one) (eV per formula unit) = 0.916

***

Entry 14:
The following is a PBE calculation of a relaxed structure of In2FeB, from OQMD via LeMat-Bulk.

Geometry as CIF:
```
data_In2FeB
_chemical_formula_sum 'In8 Fe4 B4'
_symmetry_space_group_name_H-M 'F -4 3 m'
_symmetry_Int_Tables_number 216
_symmetry_space_group_name_Hall 'F -4 2 3'
_cell_length_a 6.3612
_cell_length_b 6.3612
_cell_length_c 6.3612
_cell_angle_alpha 90.00
_cell_angle_beta 90.00
_cell_angle_gamma 90.00
loop_
_atom_site_label
_atom_site_type_symbol
_atom_site_fract_x
_atom_site_fract_y
_atom_site_fract_z
_atom_site_occupancy
In1 In 0.0000 0.0000 0.0000 1
In2 In 0.2500 0.2500 0.2500 1
Fe1 Fe 0.0000 0.0000 0.5000 1
B1 B 0.2500 0.2500 0.7500 1
```

***

Entry 15:
# PBE FeB4Ir, optimized geometry
data_FeB4Ir
_chemical_formula_sum 'Fe2 B8 Ir2'
_symmetry_space_group_name_H-M 'I m m m'
_symmetry_Int_Tables_number 71
_symmetry_space_group_name_Hall '-I 2 2'
_cell_length_a 3.0032
_cell_length_b 5.2192
_cell_length_c 6.5290
_cell_angle_alpha 90.00
_cell_angle_beta 90.00
_cell_angle_gamma 90.00
loop_
_atom_site_label
_atom_site_type_symbol
_atom_site_fract_x
_atom_site_fract_y
_atom_site_fract_z
_atom_site_occupancy
Fe1 Fe 0.0000 0.0000 0.0000 1
B1 B 0.0000 0.3352 0.2620 1
Ir1 Ir 0.0000 0.0000 0.5000 1
# - polymorph energy (0 for the lowest one) (eV per formula unit) = 0.000

***

Entry 16:
The following is a PBE calculation of a relaxed structure of FeBIr, from OQMD via LeMat-Bulk.

Geometry as CIF:
```
data_FeBIr
_chemical_formula_sum 'Fe4 B4 Ir4'
_symmetry_space_group_name_H-M 'F -4 3 m'
_symmetry_Int_Tables_number 216
_symmetry_space_group_name_Hall 'F -4 2 3'
_cell_length_a 5.3262
_cell_length_b 5.3262
_cell_length_c 5.3262
_cell_angle_alpha 90.00
_cell_angle_beta 90.00
_cell_angle_gamma 90.00
loop_
_atom_site_label
_atom_site_type_symbol
_atom_site_fract_x
_atom_site_fract_y
_atom_site_fract_z
_atom_site_occupancy
Fe1 Fe 0.0000 0.0000 0.0000 1
B1 B 0.0000 0.0000 0.5000 1
Ir1 Ir 0.2500 0.2500 0.7500 1
```

***

Entry 17:
# PBE FeB4Ir, optimized geometry
data_FeB4Ir
_chemical_formula_sum 'Fe1 B4 Ir1'
_symmetry_space_group_name_H-M 'P 6/m m m'
_symmetry_Int_Tables_number 191
_symmetry_space_group_name_Hall '-P 6 2'
_cell_length_a 3.0333
_cell_length_b 3.0333
_cell_length_c 6.1600
_cell_angle_alpha 90.00
_cell_angle_beta 90.00
_cell_angle_gamma 120.00
loop_
_atom_site_label
_atom_site_type_symbol
_atom_site_fract_x
_atom_site_fract_y
_atom_site_fract_z
_atom_site_occupancy
Fe1 Fe 0.0000 0.0000 0.0000 1
B1 B 0.3333 0.6667 0.2253 1
Ir1 Ir 0.0000 0.0000 0.5000 1
# - polymorph energy (0 for the lowest one) (eV per formula unit) = 0.108

***

Entry 18:
The following is a PBE calculation of a relaxed structure of Fe2BIr, from OQMD via LeMat-Bulk.

Geometry as CIF:
```
data_Fe2BIr
_chemical_formula_sum 'Fe8 B4 Ir4'
_symmetry_space_group_name_H-M 'F -4 3 m'
_symmetry_Int_Tables_number 216
_symmetry_space_group_name_Hall 'F -4 2 3'
_cell_length_a 5.6020
_cell_length_b 5.6020
_cell_length_c 5.6020
_cell_angle_alpha 90.00
_cell_angle_beta 90.00
_cell_angle_gamma 90.00
loop_
_atom_site_label
_atom_site_type_symbol
_atom_site_fract_x
_atom_site_fract_y
_atom_site_fract_z
_atom_site_occupancy
Fe1 Fe 0.0000 0.0000 0.0000 1
Fe2 Fe 0.2500 0.2500 0.2500 1
B1 B 0.0000 0.0000 0.5000 1
Ir1 Ir 0.2500 0.2500 0.7500 1
```

***

Entry 19:
# PBE LiFeBIr, optimized geometry
data_LiFeBIr
_chemical_formula_sum 'Li4 Fe4 B4 Ir4'
_symmetry_space_group_name_H-M 'F -4 3 m'
_symmetry_Int_Tables_number 216
_symmetry_space_group_name_Hall 'F -4 2 3'
_cell_length_a 5.5463
_cell_length_b 5.5463
_cell_length_c 5.5463
_cell_angle_alpha 90.00
_cell_angle_beta 90.00
_cell_angle_gamma 90.00
loop_
_atom_site_label
_atom_site_type_symbol
_atom_site_fract_x
_atom_site_fract_y
_atom_site_fract_z
_atom_site_occupancy
Li1 Li 0.0000 0.0000 0.0000 1
Fe1 Fe 0.0000 0.0000 0.5000 1
B1 B 0.2500 0.2500 0.2500 1
Ir1 Ir 0.2500 0.2500 0.7500 1
# - polymorph energy (0 for the lowest one) (eV per formula unit) = 1.165

***

Entry 20:
# PBE LiFeBIr, optimized geometry
data_LiFeBIr
_chemical_formula_sum 'Li4 Fe4 B4 Ir4'
_symmetry_space_group_name_H-M 'F -4 3 m'
_symmetry_Int_Tables_number 216
_symmetry_space_group_name_Hall 'F -4 2 3'
_cell_length_a 5.4245
_cell_length_b 5.4245
_cell_length_c 5.4245
_cell_angle_alpha 90.00
_cell_angle_beta 90.00
_cell_angle_gamma 90.00
loop_
_atom_site_label
_atom_site_type_symbol
_atom_site_fract_x
_atom_site_fract_y
_atom_site_fract_z
_atom_site_occupancy
Li1 Li 0.0000 0.0000 0.0000 1
Fe1 Fe 0.2500 0.2500 0.7500 1
B1 B 0.0000 0.0000 0.5000 1
Ir1 Ir 0.2500 0.2500 0.2500 1
# - polymorph energy (0 for the lowest one) (eV per formula unit) = 0.000

***

Calculated raw total energy in order - -0.58207; -0.56262; -0.56452; -0.58735; -0.58859; -0.59137; -0.60549; -0.47349; -0.54321; -0.57414; -0.57377; -0.44458; -0.43336; -0.28747; -0.52162; -0.54958; -0.52030; -0.58021; -0.44840; -0.46981 Ry/atom